Material: AcZn6Ru2
Method: DFT, PBE
State: relaxed

a = 4.2617 Å, b = 6.9179 Å, c = 6.9179 Å
α = 59.72°, β = 72.02°, γ = 72.02°
Fractional positions:
Zn: 0.2821 0.9074 0.5284
Ru: 0.1170 0.3829 0.3829
Zn: 0.2821 0.5284 0.9074
Zn: 0.7179 0.4716 0.0926
Zn: 0.7179 0.0926 0.4716
Ac: 0.0000 0.0000 0.0000
Zn: 0.5000 0.6703 0.3297
Ru: 0.8830 0.6171 0.6171
Zn: 0.5000 0.3297 0.6703

Computed properties:
Final energy: -3.4023 eV per atom
M_tot: 0.00 μB per formula unit
ΔH_f (0 K): -0.035 eV/atom

***

Material: ZrCrCd2
Method: DFT, PBE
State: relaxed

a = 4.1838 Å, b = 4.1838 Å, c = 4.5488 Å
α = 90.00°, β = 90.00°, γ = 90.00°
Last column: magnetic moment on the atom in μB.
Fractional positions:
Cr: 0.5000 0.0000 0.5000  3.11
Zr: 0.0000 0.5000 0.5000  -0.44
Cd: 0.0000 0.0000 0.0000  -0.03
Cd: 0.5000 0.5000 0.0000  -0.03

Computed properties:
ΔE to the lowest computed polymorph: 30 kJ/mol of formula units
Final energy: -4.7996 eV per atom
M_tot: 2.63 μB per formula unit
ΔH_f (0 K): 0.201 eV/atom

***

Material: SrAc2CeP4
Method: DFT, PBE
State: relaxed

a = 4.3561 Å, b = 7.4787 Å, c = 7.5082 Å
α = 70.78°, β = 90.00°, γ = 90.00°
Last column: magnetic moment on the atom in μB.
Fractional positions:
Sr: 0.5000 0.5000 0.0000  0.00
P: 0.0000 0.2601 0.2648  -0.01
P: 0.0000 0.7399 0.7352  -0.01
P: 0.5000 0.7337 0.2668  -0.01
Ce: 0.0000 0.5000 0.5000  0.22
Ac: 0.0000 0.0000 0.0000  0.00
P: 0.5000 0.2663 0.7332  -0.01
Ac: 0.5000 0.0000 0.5000  0.00

Computed properties:
Final energy: -6.0144 eV per atom
M_tot: 0.14 μB per formula unit
ΔH_f (0 K): -1.330 eV/atom

***

Material: Pu2CdGa
Method: DFT, PBE
State: relaxed

a = 3.1209 Å, b = 3.1209 Å, c = 9.5041 Å
α = 90.00°, β = 90.00°, γ = 90.00°
Last column: magnetic moment on the atom in μB.
Fractional positions:
Pu: 0.0000 0.0000 0.7686  5.54
Cd: 0.5000 0.5000 0.5000  0.00
Pu: 0.0000 0.0000 0.2314  5.54
Ga: 0.5000 0.5000 0.0000  -0.05

Computed properties:
Final energy: -8.3221 eV per atom
M_tot: 11.56 μB per formula unit
ΔH_f (0 K): -0.171 eV/atom

***

Material: Mg3Sc
Method: DFT, PBE
State: relaxed

a = 9.3168 Å, b = 9.3168 Å, c = 9.3168 Å
α = 151.45°, β = 151.45°, γ = 40.82°
Fractional positions:
Sc: 0.6244 0.6244 0.0000
Mg: 0.7500 0.2500 0.5000
Mg: 0.5000 0.0000 0.5000
Sc: 0.3756 0.3756 0.0000
Mg: 0.8710 0.8710 0.0000
Mg: 0.2500 0.7500 0.5000
Mg: 0.1290 0.1290 0.0000
Mg: 0.0000 0.5000 0.5000

Computed properties:
Final energy: -2.8011 eV per atom
M_tot: 0.00 μB per formula unit
ΔH_f (0 K): -0.022 eV/atom

***

Material: Mn2FeSi
Method: DFT, PBE
State: relaxed

a = 4.0931 Å, b = 4.0931 Å, c = 2.7788 Å
α = 90.00°, β = 90.00°, γ = 101.58°
Last column: magnetic moment on the atom in μB.
Fractional positions:
Fe: 0.0000 0.5000 0.5000  1.88
Mn: 0.0000 0.0000 0.0000  1.73
Si: 0.5000 0.0000 0.5000  -0.07
Mn: 0.5000 0.5000 0.0000  1.73

Computed properties:
Formation energy from raw total energies: -0.75 eV/f.u.
Final energy: -8.2430 eV per atom
M_tot: 5.33 μB per formula unit

***

Material: ZrInCu
Method: DFT, PBE
State: relaxed

a = 3.8595 Å, b = 7.0095 Å, c = 4.4621 Å
α = 90.00°, β = 90.00°, γ = 74.00°
Fractional positions:
Zr: 0.2609 0.8959 0.8441
In: 0.7896 0.8389 0.3440
Zr: 0.9444 0.5278 0.8441
Cu: 0.5936 0.2296 0.8441
In: 0.0996 0.2186 0.3441
Cu: 0.4428 0.5340 0.3444

Computed properties:
Final energy: -5.2541 eV per atom
M_tot: 0.00 μB per formula unit
ΔH_f (0 K): -0.127 eV/atom

***

Material: Na6In
Method: DFT, PBE
State: relaxed

a = 7.4926 Å, b = 7.4926 Å, c = 7.4926 Å
α = 109.47°, β = 109.47°, γ = 109.47°
Fractional positions:
Na: 0.2500 0.5000 0.7500
Na: 0.5000 0.2500 0.7500
Na: 0.7500 0.5000 0.2500
Na: 0.5000 0.7500 0.2500
Na: 0.2500 0.7500 0.5000
In: 0.0000 0.0000 0.0000
Na: 0.7500 0.2500 0.5000

Computed properties:
ΔE to the lowest computed polymorph: 303 kJ/mol of formula units
Final energy: -1.0963 eV per atom
M_tot: 0.00 μB per formula unit
ΔH_f (0 K): 0.426 eV/atom

***

Material: KMgNpS3
Method: DFT, PBE
State: relaxed

a = 4.1363 Å, b = 8.7430 Å, c = 9.7517 Å
α = 105.98°, β = 90.00°, γ = 90.00°
Last column: magnetic moment on the atom in μB.
Fractional positions:
S: 0.2500 0.1179 0.8609  -0.06
Np: 0.2500 0.6659 0.1402  3.91
S: 0.7500 0.1967 0.5386  -0.01
S: 0.7500 0.8821 0.1391  -0.06
S: 0.2500 0.5404 0.8524  -0.09
K: 0.2500 0.1998 0.2153  0.00
Np: 0.7500 0.3341 0.8598  3.91
K: 0.7500 0.8002 0.7847  0.00
Mg: 0.2500 0.0870 0.6080  0.00
S: 0.2500 0.8033 0.4614  -0.01
S: 0.7500 0.4596 0.1476  -0.09
Mg: 0.7500 0.9130 0.3920  0.00

Computed properties:
Formation energy from raw total energies: -7.99 eV/f.u.
Final energy: -6.0011 eV per atom
M_tot: 4.00 μB per formula unit

***

Q: Which of these has the highest final energy?
A: Na6In